Here is a relaxed structure of NaInGe from Alexandria via LeMat-Bulk. Energies are from PBE.

Properties
E_tot   -2.94 eV per atom
Symmetry   P-1 (2)
Volume   25.80 A^3/atom
Formation energy from the elements   -49 meV/atom

a b c (Å): 3.3930 6.4332 7.8049
angles (deg): 111.06 102.06 90.58
Closest atoms and distances in Å follow each position.
Element x y z (fractional)
Na  0.1151  0.4494  0.2441  3 Ge 3.08-3.17, 2 In 3.38, 2 Na 3.39
Na  0.8849  0.5506  0.7559  3 Ge 3.08-3.17, 2 In 3.38, 2 Na 3.39
In  0.4232  0.1257  0.8566  3 Ge 2.95-3.03, 1 In 3.17
In  0.5768  0.8743  0.1434  3 Ge 2.95-3.03, 1 In 3.17
Ge  0.2428  0.1480  0.4775  2 Ge 2.66-2.67, 1 In 2.95
Ge  0.7572  0.8520  0.5225  2 Ge 2.66-2.67, 1 In 2.95